# 1
# HgSbRu, relaxed, DFT PBE
# Energy relative to the elements, uncorrected = 0.25 eV/atom
# Magnetization = 0.0 μB per cell
# E_tot = -4.32 eV/atom
data_HgSbRu
_symmetry_space_group_name_H-M 'P 1'
_symmetry_Int_Tables_number 1
_cell_length_a 6.402
_cell_length_b 6.402
_cell_length_c 6.402
_cell_angle_alpha 90.00
_cell_angle_beta 90.00
_cell_angle_gamma 90.00
loop_
_symmetry_equiv_pos_as_xyz
'x,y,z'
loop_
_atom_site_label
_atom_site_type_symbol
_atom_site_fract_x
_atom_site_fract_y
_atom_site_fract_z
Hg1 Hg 0.000 0.000 0.000
Hg2 Hg 0.000 0.500 0.500
Hg3 Hg 0.500 0.000 0.500
Hg4 Hg 0.500 0.500 0.000
Sb1 Sb 0.000 0.000 0.500
Sb2 Sb 0.000 0.500 0.000
Sb3 Sb 0.500 0.000 0.000
Sb4 Sb 0.500 0.500 0.500
Ru1 Ru 0.250 0.250 0.750
Ru2 Ru 0.250 0.750 0.250
Ru3 Ru 0.750 0.250 0.250
Ru4 Ru 0.750 0.750 0.750



# 2
# HgSbRu, relaxed, DFT PBE
# Energy relative to the elements, uncorrected = 0.40 eV/atom
# Magnetization = 0.0 μB per cell
# E_tot = -4.16 eV/atom
data_HgSbRu
_symmetry_space_group_name_H-M 'P 1'
_symmetry_Int_Tables_number 1
_cell_length_a 4.467
_cell_length_b 4.467
_cell_length_c 3.628
_cell_angle_alpha 90.00
_cell_angle_beta 90.00
_cell_angle_gamma 120.00
loop_
_symmetry_equiv_pos_as_xyz
'x,y,z'
loop_
_atom_site_label
_atom_site_type_symbol
_atom_site_fract_x
_atom_site_fract_y
_atom_site_fract_z
Hg1 Hg 0.000 0.000 0.000
Sb1 Sb 0.333 0.667 0.514
Ru1 Ru 0.667 0.333 0.447



# 3
# HgSbRu2, relaxed, DFT PBE
# Energy relative to the elements, uncorrected = 0.24 eV/atom
# Magnetization = 0.0 μB per cell
# E_tot = -5.51 eV/atom
data_HgSbRu2
_symmetry_space_group_name_H-M 'P 1'
_symmetry_Int_Tables_number 1
_cell_length_a 3.197
_cell_length_b 3.208
_cell_length_c 6.721
_cell_angle_alpha 90.00
_cell_angle_beta 90.00
_cell_angle_gamma 90.00
loop_
_symmetry_equiv_pos_as_xyz
'x,y,z'
loop_
_atom_site_label
_atom_site_type_symbol
_atom_site_fract_x
_atom_site_fract_y
_atom_site_fract_z
Hg1 Hg 0.000 0.000 0.000
Sb1 Sb 0.000 0.000 0.500
Ru1 Ru 0.500 0.500 0.276
Ru2 Ru 0.500 0.500 0.724



# 4
# HgSbRu2, relaxed, DFT PBE
# Energy relative to the elements, uncorrected = 0.34 eV/atom
# Magnetization = 0.0 μB per cell
# E_tot = -5.41 eV/atom
data_HgSbRu2
_symmetry_space_group_name_H-M 'P 1'
_symmetry_Int_Tables_number 1
_cell_length_a 4.588
_cell_length_b 4.588
_cell_length_c 3.260
_cell_angle_alpha 90.00
_cell_angle_beta 90.00
_cell_angle_gamma 90.00
loop_
_symmetry_equiv_pos_as_xyz
'x,y,z'
loop_
_atom_site_label
_atom_site_type_symbol
_atom_site_fract_x
_atom_site_fract_y
_atom_site_fract_z
Hg1 Hg 0.000 0.000 0.000
Sb1 Sb 0.500 0.500 0.000
Ru1 Ru 0.000 0.500 0.500
Ru2 Ru 0.500 0.000 0.500



# 5
# HgSbRu, relaxed, DFT PBE
# Energy relative to the elements, uncorrected = 0.17 eV/atom
# Magnetization = 0.0 μB per cell
# E_tot = -4.40 eV/atom
data_HgSbRu
_symmetry_space_group_name_H-M 'P 1'
_symmetry_Int_Tables_number 1
_cell_length_a 3.186
_cell_length_b 3.186
_cell_length_c 12.770
_cell_angle_alpha 90.00
_cell_angle_beta 90.00
_cell_angle_gamma 90.00
loop_
_symmetry_equiv_pos_as_xyz
'x,y,z'
loop_
_atom_site_label
_atom_site_type_symbol
_atom_site_fract_x
_atom_site_fract_y
_atom_site_fract_z
Hg1 Hg 0.000 0.000 0.000
Hg2 Hg 0.500 0.500 0.500
Sb1 Sb 0.000 0.000 0.735
Sb2 Sb 0.500 0.500 0.235
Ru1 Ru 0.000 0.000 0.353
Ru2 Ru 0.500 0.500 0.853



# 6
# HgSbRu2, relaxed, DFT PBE
# Energy relative to the elements, uncorrected = 0.58 eV/atom
# Magnetization = 0.0 μB per cell
# E_tot = -5.17 eV/atom
data_HgSbRu2
_symmetry_space_group_name_H-M 'P 1'
_symmetry_Int_Tables_number 1
_cell_length_a 6.076
_cell_length_b 8.664
_cell_length_c 3.079
_cell_angle_alpha 90.00
_cell_angle_beta 116.59
_cell_angle_gamma 90.00
loop_
_symmetry_equiv_pos_as_xyz
'x,y,z'
loop_
_atom_site_label
_atom_site_type_symbol
_atom_site_fract_x
_atom_site_fract_y
_atom_site_fract_z
Hg1 Hg 0.000 0.000 0.000
Hg2 Hg 0.500 0.500 0.000
Sb1 Sb 0.000 0.500 0.000
Sb2 Sb 0.500 0.000 0.000
Ru1 Ru 0.250 0.250 0.500
Ru2 Ru 0.250 0.750 0.500
Ru3 Ru 0.750 0.250 0.500
Ru4 Ru 0.750 0.750 0.500



# 7
# HgSbRu2, relaxed, DFT PBE
# Energy relative to the elements, uncorrected = 0.66 eV/atom
# Magnetization = 7.1 μB per cell
# E_tot = -5.08 eV/atom
data_HgSbRu2
_symmetry_space_group_name_H-M 'P 1'
_symmetry_Int_Tables_number 1
_cell_length_a 6.619
_cell_length_b 6.619
_cell_length_c 6.619
_cell_angle_alpha 90.00
_cell_angle_beta 90.00
_cell_angle_gamma 90.00
loop_
_symmetry_equiv_pos_as_xyz
'x,y,z'
loop_
_atom_site_label
_atom_site_type_symbol
_atom_site_fract_x
_atom_site_fract_y
_atom_site_fract_z
Hg1 Hg 0.000 0.000 0.000
Hg2 Hg 0.000 0.500 0.500
Hg3 Hg 0.500 0.000 0.500
Hg4 Hg 0.500 0.500 0.000
Sb1 Sb 0.250 0.250 0.250
Sb2 Sb 0.250 0.750 0.750
Sb3 Sb 0.750 0.250 0.750
Sb4 Sb 0.750 0.750 0.250
Ru1 Ru 0.000 0.000 0.500
Ru2 Ru 0.000 0.500 0.000
Ru3 Ru 0.250 0.250 0.750
Ru4 Ru 0.250 0.750 0.250
Ru5 Ru 0.500 0.000 0.000
Ru6 Ru 0.500 0.500 0.500
Ru7 Ru 0.750 0.250 0.250
Ru8 Ru 0.750 0.750 0.750



# 8
# HgSbRu2, relaxed, DFT PBE
# Energy relative to the elements, uncorrected = 0.45 eV/atom
# Magnetization = 0.0 μB per cell
# E_tot = -5.29 eV/atom
data_HgSbRu2
_symmetry_space_group_name_H-M 'P 1'
_symmetry_Int_Tables_number 1
_cell_length_a 3.130
_cell_length_b 4.876
_cell_length_c 4.682
_cell_angle_alpha 90.00
_cell_angle_beta 90.00
_cell_angle_gamma 90.00
loop_
_symmetry_equiv_pos_as_xyz
'x,y,z'
loop_
_atom_site_label
_atom_site_type_symbol
_atom_site_fract_x
_atom_site_fract_y
_atom_site_fract_z
Hg1 Hg 0.000 0.000 0.000
Sb1 Sb 0.500 0.500 0.233
Ru1 Ru 0.000 0.500 0.690
Ru2 Ru 0.500 0.000 0.514



# 9
# HgSbRu3, relaxed, DFT PBE
# Energy relative to the elements, uncorrected = 1.45 eV/atom
# Magnetization = 3.0 μB per cell
# E_tot = -5.00 eV/atom
data_HgSbRu3
_symmetry_space_group_name_H-M 'P 1'
_symmetry_Int_Tables_number 1
_cell_length_a 4.839
_cell_length_b 4.839
_cell_length_c 4.839
_cell_angle_alpha 90.00
_cell_angle_beta 90.00
_cell_angle_gamma 90.00
loop_
_symmetry_equiv_pos_as_xyz
'x,y,z'
loop_
_atom_site_label
_atom_site_type_symbol
_atom_site_fract_x
_atom_site_fract_y
_atom_site_fract_z
Hg1 Hg 0.000 0.000 0.000
Sb1 Sb 0.500 0.500 0.500
Ru1 Ru 0.000 0.500 0.500
Ru2 Ru 0.500 0.000 0.500
Ru3 Ru 0.500 0.500 0.000



# 10
# HgSbRu2, relaxed, DFT PBE
# Energy relative to the elements, uncorrected = 0.74 eV/atom
# Magnetization = 0.0 μB per cell
# E_tot = -5.00 eV/atom
data_HgSbRu2
_symmetry_space_group_name_H-M 'P 1'
_symmetry_Int_Tables_number 1
_cell_length_a 4.190
_cell_length_b 4.190
_cell_length_c 18.834
_cell_angle_alpha 90.00
_cell_angle_beta 90.00
_cell_angle_gamma 90.00
loop_
_symmetry_equiv_pos_as_xyz
'x,y,z'
loop_
_atom_site_label
_atom_site_type_symbol
_atom_site_fract_x
_atom_site_fract_y
_atom_site_fract_z
Hg1 Hg 0.000 0.000 0.000
Hg2 Hg 0.000 0.500 0.250
Hg3 Hg 0.500 0.000 0.750
Hg4 Hg 0.500 0.500 0.500
Sb1 Sb 0.000 0.000 0.500
Sb2 Sb 0.000 0.500 0.750
Sb3 Sb 0.500 0.000 0.250
Sb4 Sb 0.500 0.500 0.000
Ru1 Ru 0.163 0.250 0.625
Ru2 Ru 0.250 0.663 0.875
Ru3 Ru 0.250 0.837 0.375
Ru4 Ru 0.337 0.250 0.125
Ru5 Ru 0.663 0.750 0.125
Ru6 Ru 0.750 0.163 0.375
Ru7 Ru 0.750 0.337 0.875
Ru8 Ru 0.837 0.750 0.625



# 11
# Hg2Sb2Ru, relaxed, DFT PBE
# Energy relative to the elements, uncorrected = 0.27 eV/atom
# Magnetization = 0.0 μB per cell
# E_tot = -3.35 eV/atom
data_Hg2Sb2Ru
_symmetry_space_group_name_H-M 'P 1'
_symmetry_Int_Tables_number 1
_cell_length_a 6.828
_cell_length_b 6.828
_cell_length_c 5.381
_cell_angle_alpha 90.00
_cell_angle_beta 90.00
_cell_angle_gamma 90.00
loop_
_symmetry_equiv_pos_as_xyz
'x,y,z'
loop_
_atom_site_label
_atom_site_type_symbol
_atom_site_fract_x
_atom_site_fract_y
_atom_site_fract_z
Hg1 Hg 0.191 0.309 0.000
Hg2 Hg 0.309 0.809 0.000
Hg3 Hg 0.691 0.191 0.000
Hg4 Hg 0.809 0.691 0.000
Sb1 Sb 0.154 0.654 0.500
Sb2 Sb 0.346 0.154 0.500
Sb3 Sb 0.654 0.846 0.500
Sb4 Sb 0.846 0.346 0.500
Ru1 Ru 0.000 0.000 0.500
Ru2 Ru 0.500 0.500 0.500



# 12
# HgSbRu2, relaxed, DFT PBE
# Energy relative to the elements, uncorrected = 0.35 eV/atom
# Magnetization = 1.1 μB per cell
# E_tot = -5.39 eV/atom
data_HgSbRu2
_symmetry_space_group_name_H-M 'P 1'
_symmetry_Int_Tables_number 1
_cell_length_a 3.148
_cell_length_b 3.148
_cell_length_c 25.057
_cell_angle_alpha 90.00
_cell_angle_beta 90.00
_cell_angle_gamma 120.00
loop_
_symmetry_equiv_pos_as_xyz
'x,y,z'
loop_
_atom_site_label
_atom_site_type_symbol
_atom_site_fract_x
_atom_site_fract_y
_atom_site_fract_z
Hg1 Hg 0.000 0.000 0.000
Hg2 Hg 0.333 0.667 0.667
Hg3 Hg 0.667 0.333 0.333
Sb1 Sb 0.000 0.000 0.500
Sb2 Sb 0.333 0.667 0.167
Sb3 Sb 0.667 0.333 0.833
Ru1 Ru 0.000 0.000 0.244
Ru2 Ru 0.000 0.000 0.756
Ru3 Ru 0.333 0.667 0.423
Ru4 Ru 0.333 0.667 0.910
Ru5 Ru 0.667 0.333 0.090
Ru6 Ru 0.667 0.333 0.577



# 13
# HgSbRu2, relaxed, DFT PBE
# Energy relative to the elements, uncorrected = 0.34 eV/atom
# Magnetization = 0.0 μB per cell
# E_tot = -5.40 eV/atom
data_HgSbRu2
_symmetry_space_group_name_H-M 'P 1'
_symmetry_Int_Tables_number 1
_cell_length_a 8.313
_cell_length_b 3.122
_cell_length_c 5.734
_cell_angle_alpha 90.00
_cell_angle_beta 101.30
_cell_angle_gamma 90.00
loop_
_symmetry_equiv_pos_as_xyz
'x,y,z'
loop_
_atom_site_label
_atom_site_type_symbol
_atom_site_fract_x
_atom_site_fract_y
_atom_site_fract_z
Hg1 Hg 0.000 0.000 0.000
Hg2 Hg 0.500 0.500 0.000
Sb1 Sb 0.000 0.500 0.500
Sb2 Sb 0.500 0.000 0.500
Ru1 Ru 0.246 0.000 0.710
Ru2 Ru 0.254 0.500 0.290
Ru3 Ru 0.746 0.500 0.710
Ru4 Ru 0.754 0.000 0.290



# 14
# HgSb2RuSe, relaxed, DFT PBE
# Energy relative to the elements, uncorrected = 1.39 eV/atom
# Magnetization = 2.2 μB per cell
# E_tot = -2.87 eV/atom
data_HgSb2RuSe
_symmetry_space_group_name_H-M 'P 1'
_symmetry_Int_Tables_number 1
_cell_length_a 5.473
_cell_length_b 5.473
_cell_length_c 5.157
_cell_angle_alpha 90.00
_cell_angle_beta 90.00
_cell_angle_gamma 90.00
loop_
_symmetry_equiv_pos_as_xyz
'x,y,z'
loop_
_atom_site_label
_atom_site_type_symbol
_atom_site_fract_x
_atom_site_fract_y
_atom_site_fract_z
Hg1 Hg 0.000 0.000 0.000
Sb1 Sb 0.000 0.500 0.000
Sb2 Sb 0.500 0.000 0.000
Ru1 Ru 0.000 0.000 0.500
Se1 Se 0.500 0.500 0.500



# 15
# Sr2HgSbRu, relaxed, DFT PBE
# Energy relative to the elements, uncorrected = 0.10 eV/atom
# Magnetization = 0.1 μB per cell
# E_tot = -3.31 eV/atom
data_Sr2HgSbRu
_symmetry_space_group_name_H-M 'P 1'
_symmetry_Int_Tables_number 1
_cell_length_a 6.241
_cell_length_b 6.241
_cell_length_c 4.878
_cell_angle_alpha 90.00
_cell_angle_beta 90.00
_cell_angle_gamma 90.00
loop_
_symmetry_equiv_pos_as_xyz
'x,y,z'
loop_
_atom_site_label
_atom_site_type_symbol
_atom_site_fract_x
_atom_site_fract_y
_atom_site_fract_z
Sr1 Sr 0.000 0.500 0.000
Sr2 Sr 0.500 0.000 0.000
Hg1 Hg 0.000 0.000 0.500
Sb1 Sb 0.500 0.500 0.000
Ru1 Ru 0.500 0.500 0.500



# 16
# HgSb2TeRu, relaxed, DFT PBE
# Energy relative to the elements, uncorrected = 0.36 eV/atom
# Magnetization = 0.0 μB per cell
# E_tot = -3.83 eV/atom
data_HgSb2TeRu
_symmetry_space_group_name_H-M 'P 1'
_symmetry_Int_Tables_number 1
_cell_length_a 5.019
_cell_length_b 5.019
_cell_length_c 5.740
_cell_angle_alpha 90.00
_cell_angle_beta 90.00
_cell_angle_gamma 90.00
loop_
_symmetry_equiv_pos_as_xyz
'x,y,z'
loop_
_atom_site_label
_atom_site_type_symbol
_atom_site_fract_x
_atom_site_fract_y
_atom_site_fract_z
Hg1 Hg 0.000 0.000 0.000
Sb1 Sb 0.000 0.500 0.500
Sb2 Sb 0.500 0.000 0.500
Te1 Te 0.500 0.500 0.000
Ru1 Ru 0.500 0.500 0.500



# 17
# Sc2HgRu, relaxed, DFT PBE
# Formation enthalpy at 0 K = -0.5744 eV per atom
# Magnetization = 0.0 μB per cell
# E_tot = -6.13 eV/atom
data_Sc2HgRu
_symmetry_space_group_name_H-M 'P 1'
_symmetry_Int_Tables_number 1
_cell_length_a 3.303
_cell_length_b 3.303
_cell_length_c 7.003
_cell_angle_alpha 90.00
_cell_angle_beta 90.00
_cell_angle_gamma 90.00
loop_
_symmetry_equiv_pos_as_xyz
'x,y,z'
loop_
_atom_site_label
_atom_site_type_symbol
_atom_site_fract_x
_atom_site_fract_y
_atom_site_fract_z
Sc1 Sc 0.000 0.000 0.219
Sc2 Sc 0.000 0.000 0.781
Hg1 Hg 0.500 0.500 0.500
Ru1 Ru 0.500 0.500 0.000



# 18
# Sc2HgRu, relaxed, DFT PBE
# Formation enthalpy at 0 K = -0.1345 eV per atom
# Magnetization = 0.0 μB per cell
# E_tot = -5.69 eV/atom
data_Sc2HgRu
_symmetry_space_group_name_H-M 'P 1'
_symmetry_Int_Tables_number 1
_cell_length_a 6.678
_cell_length_b 6.678
_cell_length_c 6.678
_cell_angle_alpha 90.00
_cell_angle_beta 90.00
_cell_angle_gamma 90.00
loop_
_symmetry_equiv_pos_as_xyz
'x,y,z'
loop_
_atom_site_label
_atom_site_type_symbol
_atom_site_fract_x
_atom_site_fract_y
_atom_site_fract_z
Sc1 Sc 0.000 0.000 0.000
Sc2 Sc 0.000 0.500 0.500
Sc3 Sc 0.250 0.250 0.250
Sc4 Sc 0.250 0.750 0.750
Sc5 Sc 0.500 0.000 0.500
Sc6 Sc 0.500 0.500 0.000
Sc7 Sc 0.750 0.250 0.750
Sc8 Sc 0.750 0.750 0.250
Hg1 Hg 0.000 0.000 0.500
Hg2 Hg 0.000 0.500 0.000
Hg3 Hg 0.500 0.000 0.000
Hg4 Hg 0.500 0.500 0.500
Ru1 Ru 0.250 0.250 0.750
Ru2 Ru 0.250 0.750 0.250
Ru3 Ru 0.750 0.250 0.250
Ru4 Ru 0.750 0.750 0.750



# 19
# Sc2HgRu, relaxed, DFT PBE
# Formation enthalpy at 0 K = -0.2652 eV per atom
# Magnetization = 0.0 μB per cell
# E_tot = -5.83 eV/atom
data_Sc2HgRu
_symmetry_space_group_name_H-M 'P 1'
_symmetry_Int_Tables_number 1
_cell_length_a 4.097
_cell_length_b 4.097
_cell_length_c 8.999
_cell_angle_alpha 90.00
_cell_angle_beta 90.00
_cell_angle_gamma 90.00
loop_
_symmetry_equiv_pos_as_xyz
'x,y,z'
loop_
_atom_site_label
_atom_site_type_symbol
_atom_site_fract_x
_atom_site_fract_y
_atom_site_fract_z
Sc1 Sc 0.000 0.000 0.000
Sc2 Sc 0.000 0.500 0.250
Sc3 Sc 0.500 0.000 0.750
Sc4 Sc 0.500 0.500 0.500
Hg1 Hg 0.000 0.500 0.750
Hg2 Hg 0.500 0.000 0.250
Ru1 Ru 0.000 0.000 0.500
Ru2 Ru 0.500 0.500 0.000



# 20
# Sc2HgRu, relaxed, DFT PBE
# Formation enthalpy at 0 K = -0.4374 eV per atom
# Magnetization = 0.0 μB per cell
# E_tot = -6.00 eV/atom
data_Sc2HgRu
_symmetry_space_group_name_H-M 'P 1'
_symmetry_Int_Tables_number 1
_cell_length_a 4.715
_cell_length_b 4.715
_cell_length_c 3.404
_cell_angle_alpha 90.00
_cell_angle_beta 90.00
_cell_angle_gamma 90.00
loop_
_symmetry_equiv_pos_as_xyz
'x,y,z'
loop_
_atom_site_label
_atom_site_type_symbol
_atom_site_fract_x
_atom_site_fract_y
_atom_site_fract_z
Sc1 Sc 0.000 0.500 0.000
Sc2 Sc 0.500 0.000 0.000
Hg1 Hg 0.000 0.000 0.500
Ru1 Ru 0.500 0.500 0.500